Entry 1:
Below is an optimized crystal structure of Sr10CuRu4O20, with properties calculated at the PBEsol level.

Unit cell a=8.6165 b=8.7684 c=8.6165 alpha=60.57 beta=90.00 gamma=119.43
Last column: nearest neighbours and their distance in Å.
Fractional coordinates of all 35 atoms:
Sr1 0.7583 0.7091 0.4378  6 O 2.43-2.72
Sr2 0.3515 0.7031 0.6484  5 O 2.39-2.67
Sr3 0.9508 0.7091 0.8531  6 O 2.43-2.72
Sr4 0.5622 0.7091 0.0492  6 O 2.43-2.72
Sr5 0.1469 0.7091 0.2417  6 O 2.43-2.72
Sr6 0.6484 0.2969 0.3515  5 O 2.39-2.67
Sr7 0.2417 0.2909 0.5622  6 O 2.43-2.72
Sr8 0.8531 0.2909 0.7583  6 O 2.43-2.72
Sr9 0.4378 0.2909 0.9508  6 O 2.43-2.72
Sr10 0.0492 0.2909 0.1469  6 O 2.43-2.72
Cu1 0.0000 0.0000 0.0000  6 O 2.01-2.05
Ru1 0.5951 0.0000 0.2004  6 O 1.89-2.04
Ru2 0.2004 0.0000 0.4049  6 O 1.89-2.04
Ru3 0.7996 0.0000 0.5951  6 O 1.89-2.04
Ru4 0.4049 0.0000 0.7996  6 O 1.89-2.04
O1 0.5641 0.3236 0.6379  1 Ru 2.04
O2 0.1622 0.3245 0.8378  1 Cu 2.05
O3 0.7595 0.3236 0.0385  1 Ru 2.04
O4 0.3621 0.3236 0.2405  1 Ru 2.04
O5 0.9615 0.3236 0.4359  1 Ru 2.04
O6 0.8378 0.6755 0.1622  1 Cu 2.05
O7 0.4359 0.6764 0.3621  1 Ru 2.04
O8 0.0385 0.6764 0.5641  1 Ru 2.04
O9 0.6379 0.6764 0.7595  1 Ru 2.04
O10 0.2405 0.6764 0.9615  1 Ru 2.04
O11 0.6952 0.0000 0.3959  2 Ru 1.89-1.94
O12 0.3048 0.0000 0.6041  2 Ru 1.89-1.94
O13 0.8953 0.0000 0.7920  1 Ru 1.89, 1 Cu 2.01
O14 0.5000 0.0000 0.0000  2 Ru 1.91
O15 0.1047 0.0000 0.2080  1 Ru 1.89, 1 Cu 2.01
O16 0.0000 0.0000 0.5000  2 Ru 1.91
O17 0.6041 0.0000 0.6952  2 Ru 1.89-1.94
O18 0.2080 0.0000 0.8953  1 Ru 1.89, 1 Cu 2.01
O19 0.7920 0.0000 0.1047  1 Ru 1.89, 1 Cu 2.01
O20 0.3959 0.0000 0.3048  2 Ru 1.89-1.94

formation energy from raw total energies	-2.122	eV/atom
Fermi-level density of states	14.7	states/eV/f.u.
raw total energy	-6.934	eV/atom
M_tot	0.085	μB/atom
SG	I4/m, No. 87
V	468	Å³/f.u.
calculated density	5.9	g/cm3

Entry 2:
Below is an optimized crystal structure of Mg3ScAs, with properties calculated at the PBEsol level.

Unit cell a=5.0171 b=5.0171 c=5.0171 alpha=90.00 beta=90.00 gamma=90.00
Last column: nearest neighbours and their distance in Å.
Fractional coordinates of all 5 atoms:
Sc1 0.5000 0.5000 0.5000  12 Mg 3.55
As1 0.0000 0.0000 0.0000  6 Mg 2.51
Mg1 0.0000 0.5000 0.0000  2 As 2.51
Mg2 0.0000 0.0000 0.5000  2 As 2.51
Mg3 0.5000 0.0000 0.0000  2 As 2.51

Fermi-level density of states	3.6	states/eV/f.u.
formation enthalpy at 0 K	175	meV per atom
raw total energy	-3.198	eV/atom
M_tot	0.000	μB/atom
SG	Pm-3m, No. 221
V	126	Å³/f.u.
calculated density	2.5	g/cm3

Entry 3:
Below is an optimized crystal structure of NbVCu6Se8, with properties calculated at the PBEsol level.

Unit cell a=5.5462 b=5.5462 c=11.0788 alpha=90.00 beta=90.00 gamma=90.00
Last column: nearest neighbours and their distance in Å.
Fractional coordinates of all 16 atoms:
Nb1 0.0000 0.0000 0.0000  4 Se 2.45
V1 0.0000 0.0000 0.5000  4 Se 2.35
Cu1 0.0000 0.0000 0.2524  4 Se 2.37-2.43
Cu2 0.0000 0.0000 0.7476  4 Se 2.37-2.43
Cu3 0.0000 0.5000 0.0000  4 Se 2.42
Cu4 0.0000 0.5000 0.5000  4 Se 2.38
Cu5 0.5000 0.0000 0.0000  4 Se 2.42
Cu6 0.5000 0.0000 0.5000  4 Se 2.38
Se1 0.7451 0.7451 0.1283  3 Cu 2.42-2.43, 1 Nb 2.45
Se2 0.7549 0.7549 0.6218  1 V 2.35, 3 Cu 2.37-2.38
Se3 0.7549 0.2451 0.3782  1 V 2.35, 3 Cu 2.37-2.38
Se4 0.7451 0.2549 0.8717  3 Cu 2.42-2.43, 1 Nb 2.45
Se5 0.2451 0.7549 0.3782  1 V 2.35, 3 Cu 2.37-2.38
Se6 0.2549 0.7451 0.8717  3 Cu 2.42-2.43, 1 Nb 2.45
Se7 0.2549 0.2549 0.1283  3 Cu 2.42-2.43, 1 Nb 2.45
Se8 0.2451 0.2451 0.6218  1 V 2.35, 3 Cu 2.37-2.38

formation energy from raw total energies	-0.468	eV/atom
raw total energy	-5.297	eV/atom
M_tot	0.000	μB/atom
SG	P-42m, No. 111
V	341	Å³/f.u.
calculated density	5.6	g/cm3

Entry 4:
Below is an optimized crystal structure of Te2IClO, with properties calculated at the PBEsol level.

Unit cell a=5.3056 b=5.3056 c=5.5625 alpha=90.00 beta=90.00 gamma=90.00
Last column: nearest neighbours and their distance in Å.
Fractional coordinates of all 5 atoms:
I1 0.0000 0.0000 0.5000  2 Cl 2.78
Te1 0.0000 0.5000 0.0000  2 Cl 2.65
Te2 0.5000 0.0000 0.0000  2 Cl 2.65
O1 0.5000 0.5000 0.5000  4 I 3.75, 8 Te 3.84
Cl1 0.0000 0.0000 0.0000  4 Te 2.65, 2 I 2.78

formation energy from raw total energies	1.188	eV/atom
Fermi-level density of states	7.1	states/eV/f.u.
raw total energy	-2.027	eV/atom
M_tot	0.481	μB/atom
SG	P4/mmm, No. 123
V	157	Å³/f.u.
calculated density	4.6	g/cm3

Entry 5:
Below is an optimized crystal structure of HgMo2Pb, with properties calculated at the PBEsol level.

Unit cell a=2.9335 b=5.4809 c=5.4884 alpha=117.13 beta=100.75 gamma=99.31
Last column: nearest neighbours and their distance in Å.
Fractional coordinates of all 4 atoms:
Hg1 0.0000 0.5000 0.0000  4 Mo 2.86, 2 Pb 2.89, 2 Hg 2.93
Mo1 0.0000 0.0000 0.5000  2 Pb 2.86, 2 Hg 2.86, 4 Mo 2.89-2.93
Mo2 0.5000 0.5000 0.5000  2 Hg 2.86, 2 Pb 2.86, 4 Mo 2.89-2.93
Pb1 0.5000 0.0000 0.0000  4 Mo 2.86, 2 Hg 2.89, 2 Pb 2.93

Fermi-level density of states	3.3	states/eV/f.u.
formation enthalpy at 0 K	776	meV per atom
energy above the lowest structure with this stoichiometry	0	meV/atom
raw total energy	-6.250	eV/atom
M_tot	0.000	μB/atom
SG	C2/m, No. 12
V	74	Å³/f.u.
calculated density	13.5	g/cm3

Entry 6:
Below is an optimized crystal structure of LiCa2Zn, with properties calculated at the PBEsol level.

Unit cell a=3.5895 b=5.3796 c=6.1123 alpha=109.99 beta=107.08 gamma=90.00
Last column: nearest neighbours and their distance in Å.
Fractional coordinates of all 4 atoms:
Zn1 0.7723 0.2397 0.5445  2 Li 2.72
Ca1 0.0349 0.0612 0.0697  3 Zn 3.15-3.53, 4 Li 3.26-3.44, 2 Ca 3.49-3.50
Ca2 0.2393 0.7217 0.4786  3 Li 3.22-3.60, 4 Zn 3.22-3.29, 4 Ca 3.49-3.59
Li1 0.4536 0.4773 0.9071  2 Zn 2.72

Fermi-level density of states	3.4	states/eV/f.u.
formation enthalpy at 0 K	-65	meV per atom
raw total energy	-2.018	eV/atom
M_tot	0.000	μB/atom
SG	Cm, No. 8
V	105	Å³/f.u.
calculated density	2.4	g/cm3

Entry 7:
Below is an optimized crystal structure of Tl2CdCu, with properties calculated at the PBEsol level.

Unit cell a=4.6642 b=5.1980 c=4.6642 alpha=63.34 beta=90.00 gamma=116.66
Last column: nearest neighbours and their distance in Å.
Fractional coordinates of all 4 atoms:
Cd1 0.5000 0.0000 0.5000  8 Tl 3.08, 4 Cu 3.30
Cu1 0.0000 0.0000 0.0000  8 Tl 3.08, 4 Cd 3.30
Tl1 0.2500 0.5000 0.2500  4 Cd 3.08, 4 Cu 3.08, 4 Tl 3.30
Tl2 0.7500 0.5000 0.7500  4 Cd 3.08, 4 Cu 3.08, 4 Tl 3.30

Fermi-level density of states	1.3	states/eV/f.u.
formation enthalpy at 0 K	279	meV per atom
energy above the lowest structure with this stoichiometry	102	meV/atom
raw total energy	-2.419	eV/atom
M_tot	0.000	μB/atom
SG	I4/mmm, No. 139
V	87	Å³/f.u.
calculated density	11.1	g/cm3

Entry 8:
Below is an optimized crystal structure of Ag2SnPb, with properties calculated at the PBEsol level.

Unit cell a=4.9847 b=4.9847 c=4.9847 alpha=60.00 beta=60.00 gamma=60.00
Last column: nearest neighbours and their distance in Å.
Fractional coordinates of all 4 atoms:
Pb1 0.5000 0.5000 0.5000  8 Ag 3.05
Sn1 0.0000 0.0000 0.0000  8 Ag 3.05
Ag1 0.2500 0.2500 0.2500  4 Sn 3.05, 4 Pb 3.05
Ag2 0.7500 0.7500 0.7500  4 Pb 3.05, 4 Sn 3.05

Fermi-level density of states	1.2	states/eV/f.u.
formation enthalpy at 0 K	97	meV per atom
raw total energy	-3.623	eV/atom
M_tot	0.000	μB/atom
SG	Fm-3m, No. 225
V	88	Å³/f.u.
calculated density	10.3	g/cm3

Entry 9:
Below is an optimized crystal structure of Ca2Eu2In3Ge4, with properties calculated at the PBEsol level.

Unit cell a=4.4192 b=7.3665 c=8.7186 alpha=106.16 beta=104.68 gamma=90.00
Last column: nearest neighbours and their distance in Å.
Fractional coordinates of all 11 atoms:
Ca1 0.5762 0.3679 0.1523  6 Ge 3.08-3.25, 4 In 3.37-3.45
Ca2 0.4238 0.6321 0.8477  6 Ge 3.08-3.25, 4 In 3.37-3.45
Eu1 0.3519 0.0767 0.7039  5 Ge 3.06-3.27
Eu2 0.6481 0.9233 0.2961  5 Ge 3.06-3.27
In1 0.0000 0.0000 0.0000  4 Ge 2.90-3.12
In2 0.2130 0.6290 0.4260  4 Ge 2.76-2.87
In3 0.7870 0.3710 0.5740  4 Ge 2.76-2.87
Ge1 0.0539 0.6605 0.1077  1 Ge 2.53, 1 In 2.76
Ge2 0.9461 0.3395 0.8923  1 Ge 2.53, 1 In 2.76
Ge3 0.1873 0.2272 0.3747  4 In 2.79-3.12, 2 Eu 3.08
Ge4 0.8127 0.7728 0.6253  4 In 2.79-3.12, 2 Eu 3.08

Fermi-level density of states	15.8	states/eV/f.u.
formation enthalpy at 0 K	-579	meV per atom
raw total energy	-5.497	eV/atom
M_tot	1.280	μB/atom
SG	C2/m, No. 12
V	263	Å³/f.u.
calculated density	6.4	g/cm3

Entry 10:
Below is an optimized crystal structure of Cd2FeHg, with properties calculated at the PBEsol level.

Unit cell a=4.0726 b=4.0726 c=5.1890 alpha=113.11 beta=113.11 gamma=90.00
Last column: nearest neighbours and their distance in Å.
Fractional coordinates of all 4 atoms:
Cd1 0.7500 0.2500 0.5000  4 Cd 2.88, 4 Hg 2.97, 4 Fe 2.97
Cd2 0.2500 0.7500 0.5000  4 Cd 2.88, 4 Fe 2.97, 4 Hg 2.97
Fe1 0.5000 0.5000 0.0000  4 Hg 2.88, 8 Cd 2.97
Hg1 0.0000 0.0000 0.0000  4 Fe 2.88, 8 Cd 2.97

Fermi-level density of states	4.9	states/eV/f.u.
formation enthalpy at 0 K	339	meV per atom
raw total energy	-2.642	eV/atom
M_tot	0.599	μB/atom
SG	I4/mmm, No. 139
V	72	Å³/f.u.
calculated density	11.2	g/cm3

Entry 11:
Below is an optimized crystal structure of Zr2Ru, with properties calculated at the PBEsol level.

Unit cell a=3.2166 b=3.2166 c=6.4465 alpha=90.00 beta=90.00 gamma=120.00
Last column: nearest neighbours and their distance in Å.
Fractional coordinates of all 3 atoms:
Ru1 0.0000 0.0000 0.0000  6 Zr 2.68
Zr1 0.6667 0.3333 0.7000  3 Ru 2.68
Zr2 0.3333 0.6667 0.3000  3 Ru 2.68

Fermi-level density of states	2.9	states/eV/f.u.
formation enthalpy at 0 K	-90	meV per atom
raw total energy	-9.541	eV/atom
M_tot	0.000	μB/atom
SG	P-3m1, No. 164
V	58	Å³/f.u.
calculated density	8.2	g/cm3

Entry 12:
Below is an optimized crystal structure of LiMg2Pb, with properties calculated at the PBEsol level.

Unit cell a=3.3253 b=5.1425 c=5.3092 alpha=90.00 beta=91.95 gamma=90.00
Last column: nearest neighbours and their distance in Å.
Fractional coordinates of all 4 atoms:
Pb1 0.5000 0.5000 0.0000  4 Mg 3.03, 4 Li 3.08-3.18, 2 Pb 3.33
Mg1 0.7473 0.0000 0.7446  2 Li 3.01, 6 Mg 3.03-3.33, 2 Pb 3.03
Mg2 0.2527 0.0000 0.2554  2 Li 3.01, 6 Mg 3.03-3.33, 2 Pb 3.03
Li1 0.0000 0.5000 0.5000  4 Mg 3.01, 4 Pb 3.08-3.18, 2 Li 3.33

Fermi-level density of states	1.5	states/eV/f.u.
formation enthalpy at 0 K	-97	meV per atom
raw total energy	-2.447	eV/atom
M_tot	0.000	μB/atom
SG	P2/m, No. 10
V	91	Å³/f.u.
calculated density	4.8	g/cm3